The following is a GGA-PBE calculation of a geometry-optimized SrY3Ir structure, from Alexandria.

Cell lengths 19.263, 9.025, 9.025 Å; angles 144.77, 154.04, 25.96 degrees
Fractional coordinates of all 10 atoms:
Ir  0.111  0.744  0.256
Ir  0.889  0.256  0.744
Y  0.461  0.737  0.263
Y  0.092  0.596  0.404
Y  0.223  0.809  0.191
Y  0.539  0.263  0.737
Y  0.908  0.404  0.596
Y  0.777  0.191  0.809
Sr  0.685  0.898  0.102
Sr  0.315  0.102  0.898

**Relative energy among the computed polymorphs**: 153 meV per atom

The following is a GGA-PBE calculation of a geometry-optimized PmBiIr4 structure, from Alexandria.

Cell lengths 5.420, 5.420, 5.420 Å; angles 60.00, 60.00, 60.00 degrees
Fractional coordinates of all 6 atoms:
Bi  0.000  0.000  0.000
Ir  0.625  0.625  0.124
Ir  0.124  0.625  0.625
Ir  0.625  0.124  0.625
Ir  0.625  0.625  0.625
Pm  0.250  0.250  0.250

**Total DFT energy (no corrections)**: -7.5905 eV per atom

The following is a GGA-PBE calculation of a geometry-optimized ZrScPb2 structure, from Alexandria.

Cell lengths 5.485, 5.485, 5.485 Å; angles 132.33, 125.34, 75.41 degrees
Fractional coordinates of all 4 atoms:
Pb  0.000  0.000  0.000
Pb  0.500  0.500  0.000
Sc  0.750  0.250  0.500
Zr  0.250  0.750  0.500

**Relative energy among the computed polymorphs**: 66 meV per atom

The following is a GGA-PBE calculation of a geometry-optimized HgB2H6 structure, from Alexandria.

Cell lengths 9.006, 9.006, 5.013 Å; angles 108.18, 108.18, 130.73 degrees
Fractional coordinates of all 18 atoms:
B  0.173  0.099  0.441
B  0.349  0.923  0.941
B  0.982  0.408  0.059
B  0.658  0.732  0.559
Hg  0.392  0.892  0.500
Hg  0.142  0.142  0.000
H  0.413  0.254  0.631
H  0.623  0.781  0.369
H  0.102  0.739  0.733
H  0.504  0.163  0.131
H  0.619  0.756  0.767
H  0.031  0.373  0.869
H  0.006  0.369  0.267
H  0.144  0.206  0.579
H  0.456  0.894  0.079
H  0.627  0.565  0.421
H  0.989  0.852  0.233
H  0.815  0.377  0.921

**Relative energy among the computed polymorphs**: 159 meV per atom

The following is a GGA-PBE calculation of a geometry-optimized MgAl2W structure, from Alexandria.

Cell lengths 5.141, 5.141, 5.141 Å; angles 136.30, 136.30, 63.51 degrees
Fractional coordinates of all 4 atoms:
Al  0.250  0.750  0.500
Al  0.000  0.000  0.000
W  0.750  0.250  0.500
Mg  0.500  0.500  0.000

**Total DFT energy (no corrections)**: -5.4950 eV per atom

The following is a GGA-PBE calculation of a geometry-optimized LuNbZnRu structure, from Alexandria.

Cell lengths 4.650, 4.650, 4.650 Å; angles 60.00, 60.00, 60.00 degrees
Fractional coordinates of all 4 atoms:
Ru  0.750  0.750  0.750
Nb  0.000  0.000  0.000
Lu  0.500  0.500  0.500
Zn  0.250  0.250  0.250

**Total DFT energy (no corrections)**: -6.4845 eV per atom

The following is a GGA-PBE calculation of a geometry-optimized YNi3 structure, from Alexandria.

Cell lengths 3.931, 4.690, 3.931 Å; angles 65.22, 90.00, 114.78 degrees
Fractional coordinates of all 4 atoms:
Ni  0.000  0.000  0.000
Ni  0.750  0.500  0.750
Ni  0.500  0.000  0.500
Y  0.250  0.500  0.250

**Total DFT energy (no corrections)**: -6.0813 eV per atom

The following is a GGA-PBE calculation of a geometry-optimized AcPmMg2Hg4 structure, from Alexandria.

Cell lengths 5.244, 5.244, 9.242 Å; angles 73.52, 73.52, 60.00 degrees
Fractional coordinates of all 8 atoms:
Hg  0.619  0.619  0.143
Hg  0.381  0.381  0.857
Hg  0.872  0.872  0.384
Hg  0.128  0.128  0.616
Ac  0.000  0.000  0.000
Mg  0.753  0.753  0.741
Mg  0.247  0.247  0.259
Pm  0.500  0.500  0.500

**Total DFT energy (no corrections)**: -2.1055 eV per atom

The following is a GGA-PBE calculation of a geometry-optimized Mg2ScSbSe structure, from Alexandria.

Cell lengths 5.768, 4.827, 5.768 Å; angles 90.00, 90.00, 90.00 degrees
Fractional coordinates of all 5 atoms:
Se  0.000  0.500  0.000
Sc  0.000  0.000  0.000
Mg  0.000  0.000  0.500
Mg  0.500  0.000  0.000
Sb  0.500  0.500  0.500

**Energy relative to the elements, uncorrected**: 312 meV/atom

The following is a GGA-PBE calculation of a geometry-optimized Ac2DyHg structure, from Alexandria.

Cell lengths 3.796, 3.796, 12.981 Å; angles 81.59, 81.59, 60.00 degrees
Fractional coordinates of all 4 atoms:
Dy  0.500  0.500  0.500
Ac  0.089  0.089  0.733
Ac  0.911  0.911  0.267
Hg  0.000  0.000  0.000

**Relative energy among the computed polymorphs**: 312 meV per atom

The following is a GGA-PBE calculation of a geometry-optimized Mg4BeP structure, from Alexandria.

Cell lengths 5.553, 5.553, 5.553 Å; angles 60.00, 60.00, 60.00 degrees
Fractional coordinates of all 6 atoms:
P  0.750  0.750  0.750
Mg  0.375  0.375  0.874
Mg  0.874  0.375  0.375
Mg  0.375  0.874  0.375
Mg  0.375  0.375  0.375
Be  0.000  0.000  0.000

**Total DFT energy (no corrections)**: -2.0316 eV per atom

The following is a GGA-PBE calculation of a geometry-optimized Ce7Tc2Ge structure, from Alexandria.

Cell lengths 4.879, 7.927, 7.927 Å; angles 108.78, 90.00, 90.00 degrees
Fractional coordinates of all 10 atoms:
Tc  0.500  0.693  0.307
Tc  0.500  0.307  0.693
Ce  0.500  0.288  0.074
Ce  0.000  0.738  0.262
Ce  0.500  0.074  0.288
Ce  0.500  0.926  0.712
Ce  0.000  0.262  0.738
Ce  0.500  0.500  0.500
Ce  0.500  0.712  0.926
Ge  0.000  0.000  0.000

**Total DFT energy (no corrections)**: -6.6868 eV per atom

The following is a GGA-PBE calculation of a geometry-optimized Ta2BeReO structure, from Alexandria.

Cell lengths 5.026, 3.678, 5.026 Å; angles 90.00, 90.00, 90.00 degrees
Fractional coordinates of all 5 atoms:
Ta  0.000  0.000  0.500
Ta  0.500  0.000  0.000
Re  0.000  0.000  0.000
O  0.000  0.500  0.000
Be  0.500  0.500  0.500

**Energy relative to the elements, uncorrected**: 967 meV/atom

The following is a GGA-PBE calculation of a geometry-optimized LaIn2Cl8 structure, from Alexandria.

Cell lengths 7.142, 8.072, 8.072 Å; angles 60.42, 80.29, 80.29 degrees
Fractional coordinates of all 11 atoms:
Cl  0.210  0.316  0.878
Cl  0.295  0.833  0.833
Cl  0.210  0.878  0.316
Cl  0.773  0.630  0.630
Cl  0.790  0.122  0.684
Cl  0.705  0.167  0.167
Cl  0.227  0.370  0.370
Cl  0.790  0.684  0.122
La  0.000  0.000  0.000
In  0.661  0.803  0.803
In  0.339  0.197  0.197

**Energy relative to the elements, uncorrected**: -1370 meV/atom

The following is a GGA-PBE calculation of a geometry-optimized Si3NiC structure, from Alexandria.

Cell lengths 3.934, 3.934, 3.934 Å; angles 90.00, 90.00, 90.00 degrees
Fractional coordinates of all 5 atoms:
C  0.000  0.000  0.000
Si  0.000  0.500  0.000
Si  0.500  0.000  0.000
Si  0.000  0.000  0.500
Ni  0.500  0.500  0.500

**Energy relative to the elements, uncorrected**: 792 meV/atom
**Relative energy among the computed polymorphs**: 0 meV per atom

The following is a GGA-PBE calculation of a geometry-optimized CdSbTe2 structure, from Alexandria.

Cell lengths 6.238, 3.183, 6.495 Å; angles 71.07, 90.00, 90.00 degrees
Fractional coordinates of all 4 atoms:
Sb  0.500  0.944  0.865
Te  0.000  0.967  0.886
Te  0.500  0.254  0.383
Cd  0.000  0.334  0.367

**Energy relative to the elements, uncorrected**: -58 meV/atom
**Relative energy among the computed polymorphs**: 101 meV per atom

The following is a GGA-PBE calculation of a geometry-optimized Al3Ag4 structure, from Alexandria.

Cell lengths 5.017, 5.017, 5.017 Å; angles 100.37, 100.37, 100.37 degrees
Fractional coordinates of all 7 atoms:
Al  0.420  0.852  0.719
Al  0.719  0.420  0.852
Al  0.852  0.719  0.420
Ag  0.159  0.285  0.585
Ag  0.980  0.980  0.980
Ag  0.585  0.159  0.285
Ag  0.285  0.585  0.159

**Relative energy among the computed polymorphs**: 26 meV per atom

The following is a GGA-PBE calculation of a geometry-optimized ReBiC2 structure, from Alexandria.

Cell lengths 5.255, 5.255, 6.196 Å; angles 64.91, 64.91, 90.00 degrees
Fractional coordinates of all 8 atoms:
Re  0.500  0.500  0.000
Re  0.250  0.750  0.500
C  0.233  0.625  0.250
C  0.875  0.767  0.750
C  0.375  0.483  0.750
C  0.517  0.125  0.250
Bi  0.750  0.250  0.500
Bi  0.000  0.000  0.000

**Total DFT energy (no corrections)**: -7.6795 eV per atom

The following is a GGA-PBE calculation of a geometry-optimized DyZr2Ti structure, from Alexandria.

Cell lengths 3.639, 3.639, 7.106 Å; angles 90.00, 90.00, 90.00 degrees
Fractional coordinates of all 4 atoms:
Dy  0.500  0.500  0.500
Ti  0.500  0.500  0.000
Zr  0.000  0.000  0.796
Zr  0.000  0.000  0.204

**Relative energy among the computed polymorphs**: 0 meV per atom

The following is a GGA-PBE calculation of a geometry-optimized USi2NiRh structure, from Alexandria.

Cell lengths 3.922, 3.922, 5.784 Å; angles 109.82, 109.82, 90.00 degrees
Fractional coordinates of all 5 atoms:
Si  0.384  0.384  0.767
Si  0.616  0.616  0.233
U  0.000  0.000  0.000
Rh  0.750  0.250  0.500
Ni  0.250  0.750  0.500

**Energy relative to the elements, uncorrected**: -673 meV/atom

The following is a GGA-PBE calculation of a geometry-optimized Pr3HoTm3Te8 structure, from Alexandria.

Cell lengths 8.753, 8.753, 8.845 Å; angles 119.66, 90.00, 120.00 degrees
Fractional coordinates of all 15 atoms:
Tm  0.000  0.500  0.500
Tm  0.500  0.000  0.500
Tm  0.500  0.500  0.500
Pr  0.500  0.500  0.000
Pr  0.000  0.500  0.000
Pr  0.000  0.000  0.000
Te  0.744  0.488  0.732
Te  0.748  0.496  0.260
Te  0.252  0.988  0.739
Te  0.748  0.012  0.261
Te  0.252  0.504  0.740
Te  0.736  0.988  0.739
Te  0.264  0.012  0.261
Te  0.256  0.512  0.268
Ho  0.000  0.000  0.500

**Energy relative to the elements, uncorrected**: -1375 meV/atom

The following is a GGA-PBE calculation of a geometry-optimized YScMn2Rh structure, from Alexandria.

Cell lengths 4.630, 4.707, 4.630 Å; angles 90.00, 90.00, 90.00 degrees
Fractional coordinates of all 5 atoms:
Mn  0.500  0.000  0.000
Mn  0.000  0.000  0.500
Sc  0.000  0.500  0.000
Y  0.500  0.500  0.500
Rh  0.000  0.000  0.000

**Total DFT energy (no corrections)**: -7.0400 eV per atom

The following is a GGA-PBE calculation of a geometry-optimized PaTiPd14 structure, from Alexandria.

Cell lengths 5.727, 5.727, 7.793 Å; angles 90.00, 90.00, 90.00 degrees
Fractional coordinates of all 16 atoms:
Pd  0.129  0.129  0.253
Pd  0.129  0.621  0.253
Pd  0.129  0.621  0.747
Pd  0.621  0.621  0.253
Pd  0.375  0.875  0.500
Pd  0.621  0.129  0.253
Pd  0.375  0.875  0.000
Pd  0.875  0.375  0.500
Pd  0.375  0.375  0.000
Pd  0.875  0.875  0.000
Pd  0.129  0.129  0.747
Pd  0.621  0.621  0.747
Pd  0.621  0.129  0.747
Pd  0.875  0.375  0.000
Ti  0.375  0.375  0.500
Pa  0.875  0.875  0.500

**Total DFT energy (no corrections)**: -6.0472 eV per atom

The following is a GGA-PBE calculation of a geometry-optimized Mg2FeP structure, from Alexandria.

Cell lengths 8.864, 8.864, 6.628 Å; angles 48.04, 48.04, 90.00 degrees
Fractional coordinates of all 8 atoms:
P  0.250  0.750  0.500
P  0.500  0.500  0.000
Mg  0.500  0.125  0.250
Mg  0.250  0.625  0.250
Mg  0.875  0.750  0.750
Mg  0.375  0.500  0.750
Fe  0.750  0.250  0.500
Fe  0.000  0.000  0.000

**Total DFT energy (no corrections)**: -4.1120 eV per atom

The following is a GGA-PBE calculation of a geometry-optimized KSi2Ge2 structure, from Alexandria.

Cell lengths 4.098, 4.098, 7.999 Å; angles 75.16, 75.16, 90.00 degrees
Fractional coordinates of all 5 atoms:
Ge  0.647  0.647  0.706
Ge  0.353  0.353  0.294
K  0.000  0.000  0.000
Si  0.750  0.250  0.500
Si  0.250  0.750  0.500

**Energy relative to the elements, uncorrected**: 70 meV/atom
**Relative energy among the computed polymorphs**: 0 meV per atom

The following is a GGA-PBE calculation of a geometry-optimized Be2ReF structure, from Alexandria.

Cell lengths 4.018, 4.018, 4.018 Å; angles 60.00, 60.00, 60.00 degrees
Fractional coordinates of all 4 atoms:
Re  0.500  0.500  0.500
Be  0.250  0.250  0.250
Be  0.750  0.750  0.750
F  0.000  0.000  0.000

**Energy relative to the elements, uncorrected**: 677 meV/atom
**Relative energy among the computed polymorphs**: 1678 meV per atom